The following is a PBE-GGA calculation of a relaxed structure of GaSbTe2Pt, from the Alexandria database.

Structure (CIF):
```
data_GaSbTe2Pt
_space_group_name_H-M_alt 'P 4/m m m'
_space_group_IT_number 123
_space_group_name_Hall '-P 4 2'
_cell_length_a 5.565
_cell_length_b 5.565
_cell_length_c 5.072
_cell_angle_alpha 90.00
_cell_angle_beta 90.00
_cell_angle_gamma 90.00
loop_
_atom_site_label
_atom_site_type_symbol
_atom_site_fract_x
_atom_site_fract_y
_atom_site_fract_z
Ga1 Ga 0.000 0.000 0.000
Sb1 Sb 0.500 0.500 0.000
Te1 Te 0.000 0.500 0.500
Pt1 Pt 0.500 0.500 0.500
```

Calculated values
- Spin magnetization: 0.00 μB per formula unit
- Energy above the most stable polymorph in this dataset: 0.0 meV/atom
- Mass density: 6.78 g cm⁻³
- E_tot: -3.62 eV per atom

***

The following is a PBE-GGA calculation of a relaxed structure of NaP2Pd6, from the Alexandria database.

Structure (CIF):
```
data_NaP2Pd6
_space_group_name_H-M_alt 'P 4/m m m'
_space_group_IT_number 123
_space_group_name_Hall '-P 4 2'
_cell_length_a 4.095
_cell_length_b 4.095
_cell_length_c 8.500
_cell_angle_alpha 90.00
_cell_angle_beta 90.00
_cell_angle_gamma 90.00
loop_
_atom_site_label
_atom_site_type_symbol
_atom_site_fract_x
_atom_site_fract_y
_atom_site_fract_z
Na1 Na 0.000 0.000 0.000
P1 P 0.500 0.500 0.131
Pd1 Pd 0.000 0.000 0.500
Pd2 Pd 0.000 0.500 0.269
Pd3 Pd 0.500 0.500 0.500
```

Calculated values
- Spin magnetization: 0.00 μB per formula unit
- Mass density: 8.43 g cm⁻³
- Formation energy from the elements: -0.38 eV/atom
- E_tot: -5.19 eV per atom

***

The following is a PBE-GGA calculation of a relaxed structure of Hf3ZnCo, from the Alexandria database.

Structure (CIF):
```
data_Hf3ZnCo
_space_group_name_H-M_alt 'C 1 2/m 1'
_space_group_IT_number 12
_cell_length_a 8.939
_cell_length_b 5.697
_cell_length_c 8.302
_cell_angle_alpha 90.00
_cell_angle_beta 118.57
_cell_angle_gamma 90.00
loop_
_space_group_symop_operation_xyz
'x,y,z'
'-x,-y,-z'
'-x,y,-z'
'x,-y,z'
'x+1/2,y+1/2,z'
'-x+1/2,-y+1/2,-z'
'-x+1/2,y+1/2,-z'
'x+1/2,-y+1/2,z'
loop_
_atom_site_label
_atom_site_type_symbol
_atom_site_fract_x
_atom_site_fract_y
_atom_site_fract_z
Hf1 Hf 0.027 0.000 0.254
Hf2 Hf 0.194 0.500 0.884
Hf3 Hf 0.198 0.500 0.305
Zn1 Zn 0.000 0.293 0.500
Co1 Co 0.000 0.266 0.000
```

Calculated values
- Spin magnetization: 0.00 μB per formula unit
- Energy above the most stable polymorph in this dataset: 0.0 meV/atom
- Mass density: 11.80 g cm⁻³
- Formation energy from the elements: -0.18 eV/atom
- E_tot: -7.83 eV per atom

***

The following is a PBE-GGA calculation of a relaxed structure of MgNbC2, from the Alexandria database.

Structure (CIF):
```
data_MgNbC2
_space_group_name_H-M_alt 'I -4 2 d'
_space_group_IT_number 122
_space_group_name_Hall 'I -4 2bw'
_cell_length_a 5.202
_cell_length_b 5.202
_cell_length_c 8.919
_cell_angle_alpha 90.00
_cell_angle_beta 90.00
_cell_angle_gamma 90.00
loop_
_atom_site_label
_atom_site_type_symbol
_atom_site_fract_x
_atom_site_fract_y
_atom_site_fract_z
Mg1 Mg 0.000 0.000 0.000
Nb1 Nb 0.000 0.000 0.500
C1 C 0.217 0.250 0.625
```

Calculated values
- Spin magnetization: 0.00 μB per formula unit
- Mass density: 3.89 g cm⁻³
- Formation energy from the elements: 0.57 eV/atom
- E_tot: -6.96 eV per atom

***

The following is a PBE-GGA calculation of a relaxed structure of ScCr4Hg, from the Alexandria database.

Structure (CIF):
```
data_ScCr4Hg
_space_group_name_H-M_alt 'F -4 3 m'
_space_group_IT_number 216
_space_group_name_Hall 'F -4 2 3'
_cell_length_a 7.047
_cell_length_b 7.047
_cell_length_c 7.047
_cell_angle_alpha 90.00
_cell_angle_beta 90.00
_cell_angle_gamma 90.00
loop_
_atom_site_label
_atom_site_type_symbol
_atom_site_fract_x
_atom_site_fract_y
_atom_site_fract_z
Sc1 Sc 0.000 0.000 0.000
Cr1 Cr 0.125 0.125 0.625
Hg1 Hg 0.250 0.250 0.250
```

Calculated values
- Spin magnetization: 0.00 μB per formula unit
- Mass density: 8.61 g cm⁻³
- Formation energy from the elements: 0.28 eV/atom
- E_tot: -7.24 eV per atom

***

The following is a PBE-GGA calculation of a relaxed structure of ScInTe3, from the Alexandria database.

Structure (CIF):
```
data_ScInTe3
_space_group_name_H-M_alt 'C m c 21'
_space_group_IT_number 36
_cell_length_a 4.314
_cell_length_b 22.766
_cell_length_c 7.129
_cell_angle_alpha 90.00
_cell_angle_beta 90.00
_cell_angle_gamma 90.00
loop_
_space_group_symop_operation_xyz
'x,y,z'
'-x,-y,z+1/2'
'-x,y,z'
'x,-y,z+1/2'
'x+1/2,y+1/2,z'
'-x+1/2,-y+1/2,z+1/2'
'-x+1/2,y+1/2,z'
'x+1/2,-y+1/2,z+1/2'
loop_
_atom_site_label
_atom_site_type_symbol
_atom_site_fract_x
_atom_site_fract_y
_atom_site_fract_z
Sc1 Sc 0.000 0.170 0.000
In1 In 0.000 0.377 0.920
Te1 Te 0.000 0.065 0.242
Te2 Te 0.000 0.268 0.718
Te3 Te 0.000 0.392 0.307
```

Calculated values
- Spin magnetization: 0.00 μB per formula unit
- Energy above the most stable polymorph in this dataset: 0.0 meV/atom
- Mass density: 5.15 g cm⁻³
- E_tot: -4.45 eV per atom